! Li3Al2Ge2Au4 PBE optimized geometry; values from VASP
! Spin magnetization in μB/f.u.: 0.0
! Space-group type: P-3m1, No. 164
! Density of states at the Fermi level in states/eV/atom: 0.26
! Formation enthalpy at 0 K in eV per atom: -0.39
&SYSTEM
  ibrav = 0, nat = 11, ntyp = 4
/
ATOMIC_SPECIES
Li 6.94 Li.upf
Al 26.98 Al.upf
Ge 72.64 Ge.upf
Au 196.97 Au.upf
ATOMIC_POSITIONS crystal
Li 0.000 0.000 0.000
Li 0.000 0.000 0.257
Li 0.000 0.000 0.743
Al 0.333 0.667 0.597
Al 0.667 0.333 0.403
Ge 0.333 0.667 0.130
Ge 0.667 0.333 0.870
Au 0.333 0.667 0.369
Au 0.333 0.667 0.861
Au 0.667 0.333 0.139
Au 0.667 0.333 0.631
CELL_PARAMETERS angstrom
4.481 0.000 0.000
-2.240 3.881 0.000
0.000 0.000 11.264

=====

! Li2AlGeAu4 PBE optimized geometry; values from VASP
! Spin magnetization in μB/f.u.: 0.0
! Space-group type: R-3m, No. 166
! Density of states at the Fermi level in states/eV/atom: 0.31
! Formation enthalpy at 0 K in eV per atom: -0.43
&SYSTEM
  ibrav = 0, nat = 8, ntyp = 4
/
ATOMIC_SPECIES
Li 6.94 Li.upf
Al 26.98 Al.upf
Ge 72.64 Ge.upf
Au 196.97 Au.upf
ATOMIC_POSITIONS crystal
Li 0.247 0.247 0.247
Li 0.753 0.753 0.753
Al 0.000 0.000 0.000
Ge 0.500 0.500 0.500
Au 0.120 0.120 0.120
Au 0.369 0.369 0.369
Au 0.631 0.631 0.631
Au 0.880 0.880 0.880
CELL_PARAMETERS angstrom
2.246 1.297 7.451
-2.246 1.297 7.451
0.000 -2.593 7.451

=====

! MgAlGeAu PBE optimized geometry; values from VASP
! Spin magnetization in μB/f.u.: 0.0
! Space-group type: F-43m, No. 216
! Density of states at the Fermi level in states/eV/atom: 0.26
! Formation enthalpy at 0 K in eV per atom: -0.19
&SYSTEM
  ibrav = 0, nat = 4, ntyp = 4
/
ATOMIC_SPECIES
Mg 24.30 Mg.upf
Al 26.98 Al.upf
Ge 72.64 Ge.upf
Au 196.97 Au.upf
ATOMIC_POSITIONS crystal
Mg 0.000 0.000 0.000
Al 0.500 0.500 0.500
Ge 0.750 0.750 0.750
Au 0.250 0.250 0.250
CELL_PARAMETERS angstrom
0.000 3.296 3.296
3.296 0.000 3.296
3.296 3.296 0.000

=====

! MgAlGeAu2 PBE optimized geometry; values from VASP
! Spin magnetization in μB/f.u.: 0.0
! Space-group type: P4/mmm, No. 123
! Density of states at the Fermi level in states/eV/atom: 0.56
! Formation enthalpy at 0 K in eV per atom: 0.37
&SYSTEM
  ibrav = 0, nat = 5, ntyp = 4
/
ATOMIC_SPECIES
Mg 24.30 Mg.upf
Al 26.98 Al.upf
Ge 72.64 Ge.upf
Au 196.97 Au.upf
ATOMIC_POSITIONS crystal
Mg 0.000 0.000 0.000
Al 0.500 0.500 0.000
Ge 0.000 0.000 0.500
Au 0.000 0.500 0.500
Au 0.500 0.000 0.500
CELL_PARAMETERS angstrom
4.994 0.000 0.000
0.000 4.994 0.000
0.000 0.000 4.924

=====

! Na2AlGeAu6 PBE optimized geometry; values from VASP
! Spin magnetization in μB/f.u.: 0.0
! Space-group type: Fm-3m, No. 225
! Density of states at the Fermi level in states/eV/atom: 0.21
! Formation enthalpy at 0 K in eV per atom: -0.08
&SYSTEM
  ibrav = 0, nat = 10, ntyp = 4
/
ATOMIC_SPECIES
Na 22.99 Na.upf
Al 26.98 Al.upf
Ge 72.64 Ge.upf
Au 196.97 Au.upf
ATOMIC_POSITIONS crystal
Na 0.250 0.250 0.250
Na 0.750 0.750 0.750
Al 0.000 0.000 0.000
Ge 0.500 0.500 0.500
Au 0.248 0.248 0.752
Au 0.248 0.752 0.248
Au 0.248 0.752 0.752
Au 0.752 0.248 0.248
Au 0.752 0.248 0.752
Au 0.752 0.752 0.248
CELL_PARAMETERS angstrom
0.000 4.973 4.973
4.973 0.000 4.973
4.973 4.973 0.000

=====

! Na2Al3GeAu12 PBE optimized geometry; values from VASP
! Spin magnetization in μB/f.u.: 0.0
! Space-group type: R-3m, No. 166
! Density of states at the Fermi level in states/eV/atom: 0.35
! Formation enthalpy at 0 K in eV per atom: -0.10
&SYSTEM
  ibrav = 0, nat = 18, ntyp = 4
/
ATOMIC_SPECIES
Na 22.99 Na.upf
Al 26.98 Al.upf
Ge 72.64 Ge.upf
Au 196.97 Au.upf
ATOMIC_POSITIONS crystal
Na 0.151 0.151 0.151
Na 0.849 0.849 0.849
Al 0.000 0.500 0.500
Al 0.500 0.000 0.500
Al 0.500 0.500 0.000
Ge 0.500 0.500 0.500
Au 0.089 0.089 0.684
Au 0.089 0.684 0.089
Au 0.149 0.572 0.572
Au 0.316 0.911 0.911
Au 0.428 0.428 0.851
Au 0.428 0.851 0.428
Au 0.572 0.149 0.572
Au 0.572 0.572 0.149
Au 0.684 0.089 0.089
Au 0.851 0.428 0.428
Au 0.911 0.316 0.911
Au 0.911 0.911 0.316
CELL_PARAMETERS angstrom
3.545 2.046 9.103
-3.545 2.046 9.103
0.000 -4.093 9.103

=====

- What is the formula in the fifth record?
  Na2AlGeAu6